First-principles (GGA-PBE) data for a relaxed Cs2BH5 crystal, as listed in the Alexandria database.

Output
mass density	3.31	g/cm3
space-group type	I4mm
energy	-26.04	eV per cell

Structure (POSCAR):
```
Cs2BH5
1.0
6.0116 -0.0006 -0.0002
-0.0004 6.0118 -0.0003
-3.0054 -3.0056 3.9142
Cs B H
2 1 5
direct
0.2479 0.7479 0.4957
0.7479 0.2479 0.4957
0.9649 0.9649 0.9298
0.8431 0.1618 0.0049
0.1618 0.1618 0.0050
0.8432 0.8432 0.0050
0.1618 0.8431 0.0049
0.8064 0.8064 0.6129
```

=====

First-principles (GGA-PBE) data for a relaxed CsBH4 crystal, as listed in the Alexandria database.

Output
mass density	2.48	g/cm3
space-group type	F-43m
energy	-23.50	eV per cell

Structure (POSCAR):
```
CsBH4
1.0
-3.7210 -0.0121 3.6213
-0.1333 -3.7652 3.5728
1.1832 1.0672 4.9417
Cs B H
1 1 4
direct
0.0000 0.0000 0.0000
0.5000 0.5000 0.5000
0.4031 0.4031 0.7907
0.4031 0.7907 0.4031
0.7907 0.4031 0.4031
0.4031 0.4031 0.4031
```

=====

First-principles (GGA-PBE) data for a relaxed Cs2BH4 crystal, as listed in the Alexandria database.

Output
ΔE to the lowest computed polymorph	71	meV/atom
mass density	2.50	g/cm3
space-group type	Fmm2

Structure (POSCAR):
```
Cs2BH4
1.0
-4.1174 2.2939 -4.3354
-3.5173 -5.3314 0.4647
1.3727 3.4217 5.2640
Cs B H
2 1 4
direct
0.2510 0.7490 0.5000
0.7510 0.2490 0.5000
0.9996 0.0004 0.0000
0.8103 0.9666 0.0000
0.0334 0.1897 0.0000
0.1888 0.0342 0.2230
0.9658 0.8112 0.7770
```

=====

First-principles (GGA-PBE) data for a relaxed Cs2BHI6 crystal, as listed in the Alexandria database.

Output
mass density	4.29	g/cm3
space-group type	I4/mmm
energy	-23.36	eV per cell

Structure (POSCAR):
```
Cs2BHI6
1.0
8.8856 0.0000 0.0000
0.0000 8.8856 0.0000
4.4428 4.4428 5.0943
Cs I B H
2 6 1 1
direct
0.7500 0.2500 0.5000
0.2500 0.7500 0.5000
0.1986 0.1986 0.6027
0.8014 0.8014 0.3973
0.2859 0.2859 0.0000
0.7141 0.7141 0.0000
0.7141 0.2859 0.0000
0.2859 0.7141 0.0000
0.0000 0.0000 0.0000
0.5000 0.5000 0.0000
```

=====

First-principles (GGA-PBE) data for a relaxed CsLa2BH crystal, as listed in the Alexandria database.

Output
mass density	3.52	g/cm3
space-group type	P4/mmm
energy	-17.60	eV per cell

Structure (POSCAR):
```
CsLa2BH
1.0
5.1442 0.0000 0.0000
0.0000 7.5247 0.0000
0.0000 0.0000 5.1442
Cs H B La
1 1 1 2
direct
0.0000 0.5000 0.0000
0.5000 0.5000 0.5000
0.0000 0.0000 0.0000
0.0000 0.0000 0.5000
0.5000 0.0000 0.0000
```

=====

First-principles (GGA-PBE) data for a relaxed CsLaB2H8 crystal, as listed in the Alexandria database.

Output
mass density	3.59	g/cm3
space-group type	R-3m
energy	-49.90	eV per cell

Structure (POSCAR):
```
CsLaB2H8
1.0
-3.2514 1.2214 2.4697
-1.8725 -2.8090 2.6013
3.9877 1.6294 8.1213
Cs La B H
1 1 2 8
direct
0.5000 0.5000 0.5000
0.0000 0.0000 0.0000
0.2628 0.2628 0.2115
0.7372 0.7372 0.7885
0.2167 0.2167 0.3500
0.4379 0.4379 0.1646
0.7833 0.7833 0.6500
0.9596 0.4379 0.1646
0.0404 0.5621 0.8354
0.4379 0.9596 0.1646
0.5621 0.0404 0.8354
0.5621 0.5621 0.8354
```

=====

First-principles (GGA-PBE) data for a relaxed CsB2H5O6 crystal, as listed in the Alexandria database.

Output
mass density	2.61	g/cm3
space-group type	P2_1/c
energy	-674.64	eV per cell

Structure (POSCAR):
```
CsB2H5O6
1.0
-4.4925 -6.6527 2.6595
9.4655 -4.5555 4.5940
-2.3370 6.6430 11.4024
Cs B H O
8 16 40 48
direct
0.2716 0.5529 0.9834
0.7284 0.0529 0.5166
0.7284 0.4471 0.0166
0.2716 0.9471 0.4834
0.4540 0.0784 0.8598
0.5460 0.5784 0.6402
0.5460 0.9216 0.1402
0.4540 0.4216 0.3598
0.8739 0.3767 0.5737
0.1261 0.8767 0.9263
0.1261 0.6233 0.4263
0.8739 0.1233 0.0737
0.1016 0.1526 0.6972
0.8984 0.6526 0.8028
0.8984 0.8474 0.3028
0.1016 0.3474 0.1972
0.1054 0.3672 0.6967
0.8946 0.8672 0.8033
0.8946 0.6328 0.3033
0.1054 0.1328 0.1967
0.8570 0.2667 0.7315
0.1430 0.7667 0.7685
0.1430 0.7333 0.2685
0.8570 0.2333 0.2315
0.1672 0.5266 0.7472
0.8328 0.0266 0.7528
0.8328 0.4734 0.2528
0.1672 0.9734 0.2472
0.8659 0.4792 0.4531
0.1341 0.9792 0.0469
0.1341 0.5208 0.5469
0.8659 0.0208 0.9531
0.7705 0.2054 0.8601
0.2295 0.7054 0.6399
0.2295 0.7946 0.1399
0.7705 0.2946 0.3601
0.1174 0.9775 0.7087
0.8826 0.4775 0.7913
0.8826 0.0225 0.2913
0.1174 0.5225 0.2087
0.6150 0.9029 0.7009
0.3850 0.4029 0.7991
0.3850 0.0971 0.2991
0.6150 0.5971 0.2009
0.4409 0.8467 0.6814
0.5591 0.3467 0.8186
0.5591 0.1533 0.3186
0.4409 0.6533 0.1814
0.5676 0.2973 0.6060
0.4324 0.7973 0.8940
0.4324 0.7027 0.3940
0.5676 0.2027 0.1060
0.3805 0.2801 0.6171
0.6195 0.7801 0.8829
0.6195 0.7199 0.3829
0.3805 0.2199 0.1171
0.9054 0.7586 0.5126
0.0946 0.2586 0.9874
0.0946 0.2414 0.4874
0.9054 0.7414 0.0126
0.9643 0.8289 0.6100
0.0357 0.3289 0.8900
0.0357 0.1711 0.3900
0.9643 0.6711 0.1100
0.8013 0.4181 0.4863
0.1987 0.9181 0.0137
0.1987 0.5819 0.5137
0.8013 0.0819 0.9863
0.0295 0.4042 0.5967
0.9705 0.9042 0.9033
0.9705 0.5958 0.4033
0.0295 0.0958 0.0967
0.7830 0.3095 0.6355
0.2170 0.8095 0.8645
0.2170 0.6905 0.3645
0.7830 0.1905 0.1355
0.1833 0.0485 0.6945
0.8167 0.5485 0.8055
0.8167 0.9515 0.3055
0.1833 0.4515 0.1945
0.1872 0.2536 0.6843
0.8128 0.7536 0.8157
0.8128 0.7464 0.3157
0.1872 0.2464 0.1843
0.7301 0.2488 0.8018
0.2699 0.7488 0.6982
0.2699 0.7512 0.1982
0.7301 0.2512 0.3018
0.9412 0.1535 0.7151
0.0588 0.6535 0.7849
0.0588 0.8465 0.2849
0.9412 0.3465 0.2151
0.9754 0.3532 0.7680
0.0246 0.8532 0.7320
0.0246 0.6468 0.2320
0.9754 0.1468 0.2680
0.2211 0.4531 0.7293
0.7789 0.9531 0.7707
0.7789 0.5469 0.2707
0.2211 0.0469 0.2293
0.5250 0.8941 0.6519
0.4750 0.3941 0.8481
0.4750 0.1059 0.3481
0.5250 0.6059 0.1519
0.4637 0.3031 0.5709
0.5363 0.8031 0.9291
0.5363 0.6969 0.4291
0.4637 0.1969 0.0709
0.9462 0.8336 0.5360
0.0538 0.3336 0.9640
0.0538 0.1664 0.4640
0.9462 0.6664 0.0360
```

=====

First-principles (GGA-PBE) data for a relaxed CsB2PH crystal, as listed in the Alexandria database.

Output
mass density	1.72	g/cm3
space-group type	P4/mmm
energy	-6.66	eV per cell

Structure (POSCAR):
```
CsB2PH
1.0
5.6034 0.0000 0.0000
0.0000 5.7452 0.0000
0.0000 0.0000 5.6034
Cs P B H
1 1 2 1
direct
0.0000 0.0000 0.0000
0.0000 0.5000 0.0000
0.0000 0.0000 0.5000
0.5000 0.0000 0.0000
0.5000 0.5000 0.5000
```

=====

First-principles (GGA-PBE) data for a relaxed CsBH6Pd crystal, as listed in the Alexandria database.

Output
mass density	3.34	g/cm3
space-group type	P1
energy	-34.20	eV per cell

Structure (POSCAR):
```
CsBH6Pd
1.0
4.2902 -0.6522 0.3058
1.4916 5.3792 0.5057
0.3581 0.5935 5.3631
Cs B H Pd
1 1 6 1
direct
0.0063 0.0363 0.0384
0.3591 0.3798 0.4070
0.0656 0.3769 0.4472
0.5154 0.7638 0.6993
0.4638 0.3553 0.6215
0.9642 0.7669 0.6289
0.4353 0.5546 0.2441
0.4371 0.1852 0.3392
0.7530 0.5812 0.5743
```

=====

First-principles (GGA-PBE) data for a relaxed CsRbB2H6 crystal, as listed in the Alexandria database.

Output
mass density	2.20	g/cm3
space-group type	R-3
energy	-36.49	eV per cell

Structure (POSCAR):
```
CsRbB2H6
1.0
4.9614 0.0000 0.0000
2.4807 4.2967 0.0000
2.4807 1.4322 8.7084
Cs Rb B H
1 1 2 6
direct
0.0000 0.0000 0.0000
0.5000 0.5000 0.5000
0.7488 0.7488 0.7537
0.2512 0.2512 0.2463
0.0249 0.6017 0.7684
0.6050 0.0249 0.7684
0.3983 0.3950 0.2316
0.9751 0.3983 0.2316
0.3950 0.9751 0.2316
0.6017 0.6050 0.7684
```

=====

First-principles (GGA-PBE) data for a relaxed CsRbB2H8 crystal, as listed in the Alexandria database.

Output
mass density	2.34	g/cm3
space-group type	P-3m1
energy	-46.95	eV per cell

Structure (POSCAR):
```
CsRbB2H8
1.0
-4.0870 -2.7352 0.0855
3.5999 -1.0561 -3.1809
3.5324 -5.1003 5.6911
Cs Rb B H
1 1 2 8
direct
0.0000 0.0000 0.0000
0.0000 0.0000 0.5000
0.6667 0.3333 0.2531
0.3333 0.6667 0.7469
0.3333 0.6667 0.8928
0.5295 0.4701 0.3005
0.5299 0.0594 0.3005
0.6667 0.3333 0.1072
0.4701 0.9406 0.6995
0.4705 0.5299 0.6995
0.0594 0.5295 0.6995
0.9406 0.4705 0.3005
```

=====

First-principles (GGA-PBE) data for a relaxed CsB2H8Rh crystal, as listed in the Alexandria database.

Output
mass density	3.24	g/cm3
space-group type	R-3
energy	-49.00	eV per cell

Structure (POSCAR):
```
CsB2H8Rh
1.0
-1.6781 -0.1337 4.5097
2.0009 -2.9600 3.2259
4.4723 3.8470 4.3473
Cs B H Rh
1 2 8 1
direct
0.5000 0.5000 0.5000
0.2639 0.2639 0.2082
0.7361 0.7361 0.7918
0.2040 0.2040 0.3879
0.5696 0.1426 0.1496
0.7960 0.7960 0.6121
0.1382 0.5696 0.1496
0.8618 0.4304 0.8504
0.1426 0.1382 0.1496
0.8574 0.8618 0.8504
0.4304 0.8574 0.8504
0.0000 0.0000 0.0000
```

=====

First-principles (GGA-PBE) data for a relaxed CsSmB2H8 crystal, as listed in the Alexandria database.

Output
mass density	3.95	g/cm3
space-group type	R-3m
energy	-49.19	eV per cell

Structure (POSCAR):
```
CsSmB2H8
1.0
-0.0343 -1.4589 3.9049
-0.1744 -4.1076 0.6889
8.6625 -2.2372 1.4653
Cs Sm B H
1 1 2 8
direct
0.5000 0.5000 0.5000
0.0000 0.0000 0.0000
0.2662 0.2662 0.2014
0.7338 0.7338 0.7986
0.2195 0.2195 0.3415
0.4452 0.4452 0.1532
0.7805 0.7805 0.6585
0.9564 0.4452 0.1532
0.0436 0.5548 0.8468
0.4452 0.9564 0.1532
0.5548 0.0436 0.8468
0.5548 0.5548 0.8468
```

=====

First-principles (GGA-PBE) data for a relaxed CsSrB3H12 crystal, as listed in the Alexandria database.

Output
mass density	2.21	g/cm3
space-group type	P2_12_12
energy	-140.01	eV per cell

Structure (POSCAR):
```
CsSrB3H12
1.0
6.0855 0.0000 0.0000
0.0000 7.9669 0.0000
0.0000 0.0000 8.2322
Cs Sr B H
2 2 6 24
direct
0.5502 0.0000 0.5000
0.4498 0.5000 0.0000
0.0134 0.5000 0.5000
0.9866 0.0000 0.0000
0.0675 0.1928 0.3103
0.0675 0.8072 0.6897
0.9325 0.3072 0.8103
0.9325 0.6928 0.1897
0.4868 0.0000 0.0000
0.5132 0.5000 0.5000
0.0515 0.1833 0.4588
0.0515 0.8167 0.5412
0.9485 0.3167 0.9588
0.9485 0.6833 0.0412
0.1607 0.3228 0.2689
0.1607 0.6772 0.7311
0.8393 0.1772 0.7689
0.8393 0.8228 0.2311
0.1769 0.0732 0.2648
0.1769 0.9268 0.7352
0.8231 0.4268 0.7648
0.8231 0.5732 0.2352
0.8827 0.1911 0.2498
0.8827 0.8089 0.7502
0.1173 0.3089 0.7498
0.1173 0.6911 0.2502
0.3736 0.8937 0.0689
0.3736 0.1063 0.9311
0.6264 0.6063 0.5689
0.6264 0.3937 0.4311
0.5996 0.0717 0.1028
0.5996 0.9283 0.8972
0.4004 0.4283 0.6028
0.4004 0.5717 0.3972
```

=====

First-principles (GGA-PBE) data for a relaxed CsTlB2H8 crystal, as listed in the Alexandria database.

Output
mass density	3.43	g/cm3
space-group type	R-3
energy	-46.45	eV per cell

Structure (POSCAR):
```
CsTlB2H8
1.0
-0.7207 4.6393 1.7981
-4.2263 2.4925 -1.0963
-5.1955 -0.7323 6.8358
Cs Tl B H
1 1 2 8
direct
0.5000 0.5000 0.5000
0.0000 0.0000 0.0000
0.2558 0.2558 0.2326
0.7442 0.7442 0.7674
0.2051 0.2051 0.3846
0.4079 0.4046 0.1819
0.7949 0.7949 0.6154
0.0056 0.4079 0.1819
0.9944 0.5921 0.8181
0.4046 0.0056 0.1819
0.5954 0.9944 0.8181
0.5921 0.5954 0.8181
```

=====

First-principles (GGA-PBE) data for a relaxed Cs2TlBH crystal, as listed in the Alexandria database.

Output
mass density	3.66	g/cm3
space-group type	P4/mmm
energy	-10.82	eV per cell

Structure (POSCAR):
```
Cs2TlBH
1.0
-0.5429 -7.1011 1.3426
2.4882 -0.8038 -3.2452
5.7885 0.3788 4.3444
Cs H Tl B
2 1 1 1
direct
0.0000 0.0000 0.5000
0.5000 0.0000 0.0000
0.5000 0.5000 0.5000
0.0000 0.0000 0.0000
0.0000 0.5000 0.0000
```

=====

First-principles (GGA-PBE) data for a relaxed CsTmB2H8 crystal, as listed in the Alexandria database.

Output
mass density	4.46	g/cm3
space-group type	R-3m
energy	-48.29	eV per cell

Structure (POSCAR):
```
CsTmB2H8
1.0
-2.5142 2.1475 -2.3879
-3.4576 1.5278 1.5314
2.1369 8.4288 1.8470
Cs Tm B H
1 1 2 8
direct
0.5000 0.5000 0.5000
0.0000 0.0000 0.0000
0.2702 0.2702 0.1893
0.7298 0.7298 0.8107
0.2227 0.2227 0.3318
0.4537 0.4537 0.1392
0.7773 0.7773 0.6682
0.9534 0.4537 0.1392
0.0466 0.5463 0.8608
0.4537 0.9534 0.1392
0.5463 0.0466 0.8608
0.5463 0.5463 0.8608
```